LiMoAs2Pb: optimized geometry, PBE.

Results
E_form: 17.244 kcal/mol of atoms
symmetry: P4/mmm, No. 123

abc: 4.5713 4.8169 4.5713
angles: 90.00 90.00 90.00
With the nearest neighbours (Å) after each atom.
Fractional coordinates of all 5 atoms:
Pb 0.5000 0.5000 0.5000  4 Mo 3.23, 8 As 3.32
As 0.5000 0.0000 0.0000  2 Li 2.29
As 0.0000 0.0000 0.5000  2 Li 2.29
Mo 0.0000 0.5000 0.0000  2 Li 2.41
Li 0.0000 0.0000 0.0000  4 As 2.29, 2 Mo 2.41

---

LiRe2MoAs: optimized geometry, PBE.

Results
E_form: 33.971 kcal/mol of atoms
symmetry: P4/mmm, No. 123

abc: 4.5745 4.6365 4.5745
angles: 90.00 90.00 90.00
With the nearest neighbours (Å) after each atom.
Fractional coordinates of all 5 atoms:
Re 0.0000 0.0000 0.5000  2 As 2.29
Re 0.5000 0.0000 0.0000  2 As 2.29
As 0.0000 0.0000 0.0000  4 Re 2.29, 2 Mo 2.32
Mo 0.0000 0.5000 0.0000  2 As 2.32
Li 0.5000 0.5000 0.5000  4 Mo 3.23, 8 Re 3.26

---

LiMoAsSe2: optimized geometry, PBE.

Results
symmetry: P4/mmm, No. 123
energy above the lowest structure with this stoichiometry: 0.8153 eV/atom
uncorrected formation energy: 0.813 eV per atom

abc: 4.5881 4.5881 4.3337
angles: 90.00 90.00 90.00
With the nearest neighbours (Å) after each atom.
Fractional coordinates of all 5 atoms:
Li 0.0000 0.0000 0.0000  2 As 2.17, 4 Se 2.29
As 0.0000 0.0000 0.5000  2 Li 2.17
Se 0.0000 0.5000 0.0000  2 Li 2.29
Se 0.5000 0.0000 0.0000  2 Li 2.29
Mo 0.5000 0.5000 0.5000  8 Se 3.16, 4 As 3.24

---

LiMoAsSe2: optimized geometry, PBE.

Results
symmetry: P4/mmm, No. 123
energy above the lowest structure with this stoichiometry: 0.0000 eV/atom
uncorrected formation energy: -0.002 eV per atom

abc: 5.0311 5.0311 4.8650
angles: 90.00 90.00 90.00
With the nearest neighbours (Å) after each atom.
Fractional coordinates of all 5 atoms:
As 0.0000 0.0000 0.5000  2 Mo 2.43
Se 0.5000 0.0000 0.0000  2 Mo 2.52
Se 0.0000 0.5000 0.0000  2 Mo 2.52
Li 0.5000 0.5000 0.5000  8 Se 3.50, 4 As 3.56
Mo 0.0000 0.0000 0.0000  2 As 2.43, 4 Se 2.52

---

Li6AsN: optimized geometry, PBE.

Results
symmetry: R-3m, No. 166
uncorrected formation energy: -0.419 eV per atom

abc: 4.0697 4.0697 7.4774
angles: 74.21 74.21 60.00
With the nearest neighbours (Å) after each atom.
Fractional coordinates of all 8 atoms:
Li 0.0883 0.0883 0.7351  1 N 1.88
Li 0.9117 0.9117 0.2649  1 N 1.88
Li 0.2077 0.2077 0.3769  4 Li 2.48-2.54, 3 As 2.51
Li 0.6466 0.6466 0.0603  3 N 2.39, 3 Li 2.50
Li 0.7923 0.7923 0.6231  4 Li 2.48-2.54, 3 As 2.51
Li 0.3534 0.3534 0.9397  3 N 2.39, 3 Li 2.50
As 0.5000 0.5000 0.5000  6 Li 2.51
N 0.0000 0.0000 0.0000  2 Li 1.88

---

LiAsN3: optimized geometry, PBE.

Results
symmetry: Pm-3m, No. 221
uncorrected formation energy: 2.175 eV per atom

abc: 3.6288 3.6288 3.6288
angles: 90.00 90.00 90.00
With the nearest neighbours (Å) after each atom.
Fractional coordinates of all 5 atoms:
As 0.5000 0.5000 0.5000  12 N 2.57
Li 0.0000 0.0000 0.0000  6 N 1.81
N 0.5000 0.0000 0.0000  2 Li 1.81
N 0.0000 0.5000 0.0000  2 Li 1.81
N 0.0000 0.0000 0.5000  2 Li 1.81

---

LiAsN3: optimized geometry, PBE.

Results
symmetry: Pm-3m, No. 221
uncorrected formation energy: 1.279 eV per atom

abc: 3.7578 3.7578 3.7578
angles: 90.00 90.00 90.00
With the nearest neighbours (Å) after each atom.
Fractional coordinates of all 5 atoms:
Li 0.5000 0.5000 0.5000  12 N 2.66
N 0.0000 0.5000 0.0000  2 As 1.88
N 0.5000 0.0000 0.0000  2 As 1.88
N 0.0000 0.0000 0.5000  2 As 1.88
As 0.0000 0.0000 0.0000  6 N 1.88

---

Li3AsN: optimized geometry, PBE.

Results
symmetry: Pm-3m, No. 221
energy above the lowest structure with this stoichiometry: 0.2079 eV/atom
uncorrected formation energy: -0.110 eV per atom

abc: 3.9612 3.9612 3.9612
angles: 90.00 90.00 90.00
With the nearest neighbours (Å) after each atom.
Fractional coordinates of all 5 atoms:
Li 0.0000 0.0000 0.5000  2 N 1.98
Li 0.0000 0.5000 0.0000  2 N 1.98
Li 0.5000 0.0000 0.0000  2 N 1.98
N 0.0000 0.0000 0.0000  6 Li 1.98
As 0.5000 0.5000 0.5000  12 Li 2.80

---

Li3AsN: optimized geometry, PBE.

Results
symmetry: Pm-3m, No. 221
energy above the lowest structure with this stoichiometry: 0.8544 eV/atom
uncorrected formation energy: 0.536 eV per atom

abc: 4.8412 4.8412 4.8412
angles: 90.00 90.00 90.00
With the nearest neighbours (Å) after each atom.
Fractional coordinates of all 5 atoms:
As 0.0000 0.0000 0.0000  6 Li 2.42
Li 0.5000 0.0000 0.0000  2 As 2.42
Li 0.0000 0.0000 0.5000  2 As 2.42
Li 0.0000 0.5000 0.0000  2 As 2.42
N 0.5000 0.5000 0.5000  12 Li 3.42

---

Li6AsN4: optimized geometry, PBE.

Results
symmetry: P4_2/nmc, No. 137
uncorrected formation energy: -0.368 eV per atom

abc: 4.9360 6.5867 6.5867
angles: 90.00 90.00 90.00
With the nearest neighbours (Å) after each atom.
Fractional coordinates of all 22 atoms:
N 0.8107 0.7403 0.5000  1 As 1.84, 1 Li 2.01
N 0.3107 0.0000 0.7597  1 As 1.84, 1 Li 2.01
N 0.3107 0.0000 0.2403  1 As 1.84, 1 Li 2.01
N 0.1893 0.5000 0.7403  1 As 1.84, 1 Li 2.01
N 0.6893 0.7597 0.0000  1 As 1.84, 1 Li 2.01
N 0.1893 0.5000 0.2597  1 As 1.84, 1 Li 2.01
N 0.6893 0.2403 0.0000  1 As 1.84, 1 Li 2.01
N 0.8107 0.2597 0.5000  1 As 1.84, 1 Li 2.01
Li 0.5000 0.2902 0.2902  4 N 2.07-2.15
Li 0.5000 0.2902 0.7098  4 N 2.07-2.15
Li 0.0957 0.0000 0.5000  4 N 2.01-2.21
Li 0.9043 0.5000 0.0000  4 N 2.01-2.21
Li 0.5957 0.0000 0.5000  4 N 2.01-2.21
Li 0.0000 0.7902 0.2098  4 N 2.07-2.15
Li 0.5000 0.7098 0.7098  4 N 2.07-2.15
Li 0.4043 0.5000 0.0000  4 N 2.01-2.21
Li 0.0000 0.7902 0.7902  4 N 2.07-2.15
Li 0.0000 0.2098 0.7902  4 N 2.07-2.15
Li 0.5000 0.7098 0.2902  4 N 2.07-2.15
Li 0.0000 0.2098 0.2098  4 N 2.07-2.15
As 0.5000 0.0000 0.0000  4 N 1.84
As 0.0000 0.5000 0.5000  4 N 1.84

---

Li3AsN: optimized geometry, PBE.

Results
symmetry: R3c, No. 161
energy above the lowest structure with this stoichiometry: 0.0000 eV/atom
uncorrected formation energy: -0.318 eV per atom

abc: 5.1126 5.1126 5.1126
angles: 78.70 78.70 78.70
With the nearest neighbours (Å) after each atom.
Fractional coordinates of all 10 atoms:
N 0.2375 0.2375 0.2375  1 As 1.90, 3 Li 2.10
N 0.7375 0.7375 0.7375  1 As 1.90, 3 Li 2.10
Li 0.9118 0.3966 0.5531  2 N 2.10-2.23
Li 0.4118 0.0531 0.8966  2 N 2.10-2.23
Li 0.8966 0.4118 0.0531  2 N 2.10-2.23
Li 0.3966 0.5531 0.9118  2 N 2.10-2.23
Li 0.0531 0.8966 0.4118  2 N 2.10-2.23
Li 0.5531 0.9118 0.3966  2 N 2.10-2.23
As 0.9192 0.9192 0.9192  1 N 1.90
As 0.4192 0.4192 0.4192  1 N 1.90

---

Li2AsN4: optimized geometry, PBE.

Results
symmetry: I4/mmm, No. 139
uncorrected formation energy: 1.100 eV per atom

abc: 3.8600 3.8600 5.9275
angles: 71.00 71.00 90.00
With the nearest neighbours (Å) after each atom.
Fractional coordinates of all 7 atoms:
N 0.0000 0.5000 0.0000  2 As 1.93
N 0.1745 0.1745 0.6510  1 As 1.84, 1 Li 2.01
N 0.8255 0.8255 0.3490  1 As 1.84, 1 Li 2.01
N 0.5000 0.0000 0.0000  2 As 1.93
As 0.0000 0.0000 0.0000  6 N 1.84-1.93
Li 0.3657 0.3657 0.2685  1 N 2.01
Li 0.6343 0.6343 0.7315  1 N 2.01

---

LiNdAsN2: optimized geometry, PBE.

Results
symmetry: P2/c, No. 13
uncorrected formation energy: -0.294 eV per atom

abc: 4.0929 5.8530 6.2408
angles: 102.17 90.00 90.00
With the nearest neighbours (Å) after each atom.
Fractional coordinates of all 10 atoms:
N 0.2971 0.2712 0.0438  1 As 1.97
N 0.7029 0.7288 0.9562  1 As 1.97
N 0.7029 0.2712 0.5438  1 As 1.97
N 0.2971 0.7288 0.4562  1 As 1.97
As 0.0000 0.0000 0.5000  2 N 1.97
As 0.0000 0.0000 0.0000  2 N 1.97
Nd 0.7444 0.5000 0.2500  4 N 2.46-2.49
Nd 0.2556 0.5000 0.7500  4 N 2.46-2.49
Li 0.4890 0.0000 0.2500  4 N 2.33-2.38, 2 As 2.54
Li 0.5110 0.0000 0.7500  4 N 2.33-2.38, 2 As 2.54

---

LiNpAsN: optimized geometry, PBE.

Results
symmetry: P4/nmm, No. 129
uncorrected formation energy: -0.902 eV per atom

abc: 3.8127 3.8127 8.8044
angles: 90.00 90.00 90.00
With the nearest neighbours (Å) after each atom.
Fractional coordinates of all 8 atoms:
N 0.5000 0.5000 0.0000  4 Np 2.23
N 0.0000 0.0000 0.0000  4 Np 2.23
As 0.0000 0.5000 0.3035  4 Li 2.57
As 0.5000 0.0000 0.6965  4 Li 2.57
Li 0.5000 0.5000 0.5000  4 As 2.57, 4 Li 2.70
Li 0.0000 0.0000 0.5000  4 As 2.57, 4 Li 2.70
Np 0.5000 0.0000 0.1321  4 N 2.23
Np 0.0000 0.5000 0.8679  4 N 2.23

---

Li2PaAsN4: optimized geometry, PBE.

Results
symmetry: Cm, No. 8
uncorrected formation energy: -0.516 eV per atom

abc: 6.5110 6.4948 7.0167
angles: 122.69 122.61 90.92
With the nearest neighbours (Å) after each atom.
Fractional coordinates of all 16 atoms:
Pa 0.0021 0.5027 0.5024  4 N 2.15-2.36
Pa 0.0025 0.5029 0.0027  4 N 2.15-2.36
N 0.2078 0.1973 0.3906  2 As 1.96-2.03
N 0.6978 0.7078 0.8909  2 As 1.96-2.03
N 0.2079 0.1974 0.0146  2 As 1.96-2.03
N 0.1750 0.7439 0.4595  1 Li 2.08, 2 Pa 2.15
N 0.6977 0.7078 0.5147  2 As 1.96-2.03
N 0.7421 0.2232 0.9826  1 As 1.90
N 0.2429 0.6719 0.9573  1 Li 2.07, 2 Pa 2.15
N 0.7227 0.2406 0.4817  1 As 1.90
As 0.9106 0.9836 0.9471  5 N 1.90-2.03
As 0.4836 0.4088 0.4463  5 N 1.90-2.03
Li 0.4854 0.9834 0.4885  6 N 2.25-2.43, 2 Li 2.46
Li 0.6549 0.7876 0.2212  3 N 2.07-2.26
Li 0.2823 0.1577 0.7197  3 N 2.08-2.26
Li 0.4848 0.9836 0.9802  6 N 2.26-2.42, 2 Li 2.46

---

LiPaAsN: optimized geometry, PBE.

Results
symmetry: P4/nmm, No. 129
uncorrected formation energy: -1.326 eV per atom

abc: 3.8838 3.8838 8.8597
angles: 90.00 90.00 90.00
With the nearest neighbours (Å) after each atom.
Fractional coordinates of all 8 atoms:
As 0.5000 0.0000 0.6928  4 Li 2.59
As 0.0000 0.5000 0.3072  4 Li 2.59
N 0.5000 0.5000 0.0000  4 Pa 2.29
N 0.0000 0.0000 0.0000  4 Pa 2.29
Pa 0.0000 0.5000 0.8632  4 N 2.29
Pa 0.5000 0.0000 0.1368  4 N 2.29
Li 0.5000 0.5000 0.5000  4 As 2.59, 4 Li 2.75
Li 0.0000 0.0000 0.5000  4 As 2.59, 4 Li 2.75

---

LiPa2As2N2: optimized geometry, PBE.

Results
symmetry: C2/m, No. 12
uncorrected formation energy: -1.239 eV per atom

abc: 3.8844 5.7503 6.6002
angles: 66.68 72.89 70.26
With the nearest neighbours (Å) after each atom.
Fractional coordinates of all 7 atoms:
Pa 0.8009 0.6415 0.7568  3 N 2.22
Pa 0.1991 0.3585 0.2432  3 N 2.22
N 0.2049 0.6769 0.9134  1 Li 2.00, 3 Pa 2.22
N 0.7951 0.3231 0.0866  1 Li 2.00, 3 Pa 2.22
Li 0.0000 0.0000 0.0000  2 N 2.00
As 0.5549 0.2451 0.6450  1 As 2.76, 2 Li 2.93, 2 Pa 3.09
As 0.4451 0.7549 0.3550  1 As 2.76, 2 Li 2.93, 2 Pa 3.09

---

LiPa2AsN6: optimized geometry, PBE.

Results
symmetry: C2/m, No. 12
uncorrected formation energy: -0.470 eV per atom

abc: 5.5188 5.6411 5.5160
angles: 58.92 54.70 58.95
With the nearest neighbours (Å) after each atom.
Fractional coordinates of all 10 atoms:
N 0.1405 0.0076 0.3713  1 As 1.92, 1 Li 2.05
N 0.9957 0.6241 0.2279  1 As 1.92, 1 Li 2.05
N 0.6366 0.0083 0.8752  1 As 1.92, 1 Li 2.05
N 0.4918 0.6247 0.7317  1 As 1.92, 1 Li 2.05
N 0.0819 0.4327 0.8166  1 As 1.99, 1 Pa 2.21, 1 Li 2.22
N 0.5505 0.1996 0.2864  1 As 1.99, 1 Pa 2.21, 1 Li 2.22
Li 0.8162 0.8162 0.5515  6 N 2.05-2.22
Pa 0.0678 0.0554 0.8030  5 N 2.21-2.37
Pa 0.5645 0.5769 0.3001  5 N 2.21-2.37
As 0.3162 0.3162 0.0515  6 N 1.92-1.99

---

Li2PmAsN: optimized geometry, PBE.

Results
symmetry: I4/mcm, No. 140
uncorrected formation energy: -0.758 eV per atom

abc: 5.9971 5.9971 6.3509
angles: 118.17 118.17 90.00
With the nearest neighbours (Å) after each atom.
Fractional coordinates of all 10 atoms:
Li 0.2992 0.7992 0.9999  2 N 2.16
Li 0.7992 0.7007 0.9999  2 N 2.16
Li 0.2007 0.2992 0.9999  2 N 2.16
Li 0.7007 0.2007 0.9999  2 N 2.16
As 0.2502 0.7502 0.5005  4 Li 2.91-2.92, 4 Pm 3.00
As 0.7502 0.2502 0.5005  4 Li 2.91-2.92, 4 Pm 3.00
N 0.5001 0.5001 0.0001  4 Li 2.16, 2 Pm 2.36
N 0.0001 0.0001 0.0001  4 Li 2.16, 2 Pm 2.36
Pm 0.2500 0.2500 0.5000  2 N 2.36
Pm 0.7500 0.7500 0.5000  2 N 2.36

---

Li2AsRuN: optimized geometry, PBE.

Results
symmetry: P4/mmm, No. 123
uncorrected formation energy: -0.318 eV per atom

abc: 4.0340 4.0340 3.8229
angles: 90.00 90.00 90.00
With the nearest neighbours (Å) after each atom.
Fractional coordinates of all 5 atoms:
As 0.5000 0.5000 0.5000  8 Li 2.78, 4 Ru 2.85
N 0.0000 0.0000 0.0000  2 Ru 1.91, 4 Li 2.02
Li 0.5000 0.0000 0.0000  2 N 2.02
Li 0.0000 0.5000 0.0000  2 N 2.02
Ru 0.0000 0.0000 0.5000  2 N 1.91